Na5YC4O12, optimized geometry, DFT GGA-PBEsol; density of states at the Fermi level = 0.00 states/eV/atom; V = 12.20 A^3/atom; E_form (uncorrected) = -42.629 eV per formula unit; total energy = -7.183 eV per atom
1.0
12.1666 0.0000 0.0000
0.0000 10.0694 0.0000
-0.0244 0.0000 8.7605
Na Y C O
20 4 16 48
Direct
0.0745 0.1252 0.0445
0.0745 0.3748 0.5445
0.1067 0.6278 0.0842
0.1067 0.8722 0.5842
0.2102 0.1258 0.6917
0.2102 0.3742 0.1917
0.3655 0.1777 0.0104
0.3655 0.3223 0.5104
0.4007 0.5795 0.0761
0.4007 0.9205 0.5761
0.5993 0.0795 0.4239
0.5993 0.4205 0.9239
0.6345 0.6777 0.4896
0.6345 0.8223 0.9896
0.7898 0.6258 0.8083
0.7898 0.8742 0.3083
0.8933 0.1278 0.4158
0.8933 0.3722 0.9158
0.9255 0.6252 0.4555
0.9255 0.8748 0.9555
0.2774 0.6242 0.7147
0.2774 0.8758 0.2147
0.7226 0.1242 0.7853
0.7226 0.3758 0.2853
0.0131 0.6077 0.7560
0.0131 0.8923 0.2560
0.2176 0.1185 0.3547
0.2176 0.3815 0.8547
0.2793 0.6345 0.3893
0.2793 0.8655 0.8893
0.4957 0.1339 0.7370
0.4957 0.3661 0.2370
0.5043 0.6339 0.7630
0.5043 0.8661 0.2630
0.7207 0.1345 0.1107
0.7207 0.3655 0.6107
0.7824 0.6185 0.1453
0.7824 0.8815 0.6453
0.9869 0.1077 0.7440
0.9869 0.3923 0.2440
0.0137 0.1626 0.6177
0.0137 0.3374 0.1177
0.0433 0.0100 0.7994
0.0433 0.4900 0.2994
0.0971 0.6523 0.6763
0.0971 0.8477 0.1763
0.2044 0.2322 0.4160
0.2044 0.2678 0.9160
0.2228 0.0094 0.4346
0.2228 0.4906 0.9346
0.2290 0.1050 0.2074
0.2290 0.3950 0.7074
0.2682 0.6328 0.2433
0.2682 0.8672 0.7433
0.2724 0.7489 0.4587
0.2724 0.7511 0.9587
0.2970 0.5300 0.4693
0.2970 0.9700 0.9693
0.3984 0.1516 0.6874
0.3984 0.3484 0.1874
0.4405 0.5429 0.8237
0.4405 0.9571 0.3237
0.4617 0.7028 0.6519
0.4617 0.7972 0.1519
0.5383 0.2028 0.8481
0.5383 0.2972 0.3481
0.5595 0.0429 0.6763
0.5595 0.4571 0.1763
0.6016 0.6516 0.8126
0.6016 0.8484 0.3126
0.7030 0.0300 0.0307
0.7030 0.4700 0.5307
0.7276 0.2489 0.0413
0.7276 0.2511 0.5413
0.7318 0.1328 0.2567
0.7318 0.3672 0.7567
0.7710 0.6050 0.2926
0.7710 0.8950 0.7926
0.7772 0.5094 0.0654
0.7772 0.9906 0.5654
0.7956 0.7322 0.0840
0.7956 0.7678 0.5840
0.9029 0.1523 0.8237
0.9029 0.3477 0.3237
0.9567 0.5100 0.7006
0.9567 0.9900 0.2006
0.9863 0.6626 0.8823
0.9863 0.8374 0.3823